No. 1
## TbHo4Pt4 (PBE)

Data for a geometry-optimized TbHo4Pt4 structure.

energy of formation from the pure elements: -1.063 eV per atom

Cell lengths 5.7093, 9.0040, 9.0040 Å; angles 90.00, 90.00, 90.00 degrees
Closest atoms and distances in Å follow each position.
Element x y z (fractional)
Ho1 0.0829 0.8269 0.4036  5 Pt 2.83-2.89
Ho2 0.4171 0.3269 0.9036  5 Pt 2.83-2.89
Ho3 0.9171 0.4036 0.1731  5 Pt 2.83-2.89
Ho4 0.5829 0.9036 0.6731  5 Pt 2.83-2.89
Ho5 0.9171 0.5964 0.8269  5 Pt 2.83-2.89
Ho6 0.0829 0.1731 0.5964  5 Pt 2.83-2.89
Ho7 0.4171 0.6731 0.0964  5 Pt 2.83-2.89
Ho8 0.5829 0.0964 0.3269  5 Pt 2.83-2.89
Pt1 0.0831 0.8768 0.7142  5 Ho 2.83-2.89, 1 Tb 2.84, 1 Pt 3.04
Pt2 0.9169 0.2858 0.8768  5 Ho 2.83-2.89, 1 Tb 2.84, 1 Pt 3.04
Pt3 0.9169 0.7142 0.1232  5 Ho 2.83-2.89, 1 Tb 2.84, 1 Pt 3.04
Pt4 0.5831 0.2142 0.6232  5 Ho 2.83-2.89, 1 Tb 2.84, 1 Pt 3.04
Pt5 0.4169 0.6232 0.7858  5 Ho 2.83-2.89, 1 Tb 2.84, 1 Pt 3.04
Pt6 0.5831 0.7858 0.3768  5 Ho 2.83-2.89, 1 Tb 2.84, 1 Pt 3.04
Pt7 0.4169 0.3768 0.2142  5 Ho 2.83-2.89, 1 Tb 2.84, 1 Pt 3.04
Pt8 0.0831 0.1232 0.2858  5 Ho 2.83-2.89, 1 Tb 2.84, 1 Pt 3.04
Tb1 0.5000 0.5000 0.5000  4 Pt 2.84
Tb2 0.0000 0.0000 0.0000  4 Pt 2.84

No. 2
## TcTePdN2 (PBE)

Data for a geometry-optimized TcTePdN2 structure.

offset from the most stable computed form: 1.254 eV/atom
formation energy (no corrections): 1.812 eV/atom

Cell lengths 3.8505, 3.8505, 6.3250 Å; angles 90.00, 90.00, 90.00 degrees
Closest atoms and distances in Å follow each position.
Element x y z (fractional)
N1 0.0000 0.5000 0.0000  2 Pd 1.93
N2 0.5000 0.0000 0.0000  2 Pd 1.93
Te1 0.0000 0.0000 0.5000  4 Tc 2.72
Pd1 0.0000 0.0000 0.0000  4 N 1.93
Tc1 0.5000 0.5000 0.5000  4 Te 2.72

No. 3
## Tb2Pm6Ho3Er (PBE)

Data for a geometry-optimized Tb2Pm6Ho3Er structure.

energy of formation from the pure elements: 0.012 eV per atom

Cell lengths 6.2329, 6.2329, 11.8220 Å; angles 95.02, 95.02, 119.99 degrees
Closest atoms and distances in Å follow each position.
Element x y z (fractional)
Tb1 0.3334 0.6666 0.0000  6 Pm 3.58, 3 Tb 3.60, 3 Er 3.60
Tb2 0.6666 0.3334 0.0000  6 Pm 3.58, 3 Tb 3.60, 3 Er 3.60
Pm1 0.4169 0.0839 0.2504  3 Ho 3.57, 2 Tb 3.58, 1 Er 3.58, 6 Pm 3.59-3.60
Pm2 0.0839 0.4169 0.2504  3 Ho 3.57, 2 Tb 3.58, 1 Er 3.58, 6 Pm 3.59-3.60
Pm3 0.7509 0.7509 0.2506  3 Ho 3.57, 1 Er 3.58, 2 Tb 3.58, 6 Pm 3.60
Pm4 0.2491 0.2491 0.7494  3 Ho 3.57, 1 Er 3.58, 2 Tb 3.58, 6 Pm 3.60
Pm5 0.5831 0.9161 0.7496  3 Ho 3.57, 2 Tb 3.58, 1 Er 3.58, 6 Pm 3.59-3.60
Pm6 0.9161 0.5831 0.7496  3 Ho 3.57, 2 Tb 3.58, 1 Er 3.58, 6 Pm 3.59-3.60
Ho1 0.5000 0.5000 0.5000  6 Pm 3.57, 6 Ho 3.60
Ho2 0.8334 0.1666 0.5000  6 Pm 3.57, 6 Ho 3.60
Ho3 0.1666 0.8334 0.5000  6 Pm 3.57, 6 Ho 3.60
Er1 0.0000 0.0000 0.0000  6 Pm 3.58, 6 Tb 3.60

No. 4
## Dy12Sb6C (PBE)

Data for a geometry-optimized Dy12Sb6C structure.

formation energy (no corrections): -0.662 eV/atom

Cell lengths 8.3853, 8.3853, 8.3853 Å; angles 99.34, 99.34, 99.34 degrees
Closest atoms and distances in Å follow each position.
Element x y z (fractional)
Dy1 0.0022 0.7014 0.9365  1 C 2.48
Dy2 0.5787 0.4538 0.8060  4 Sb 3.03-3.29
Dy3 0.9978 0.2986 0.0635  1 C 2.48
Dy4 0.1940 0.4213 0.5462  4 Sb 3.03-3.29
Dy5 0.4538 0.8060 0.5787  4 Sb 3.03-3.29
Dy6 0.0635 0.9978 0.2986  1 C 2.48
Dy7 0.7014 0.9365 0.0022  1 C 2.48
Dy8 0.5462 0.1940 0.4213  4 Sb 3.03-3.29
Dy9 0.9365 0.0022 0.7014  1 C 2.48
Dy10 0.2986 0.0635 0.9978  1 C 2.48
Dy11 0.4213 0.5462 0.1940  4 Sb 3.03-3.29
Dy12 0.8060 0.5787 0.4538  4 Sb 3.03-3.29
Sb1 0.6993 0.8825 0.3535  7 Dy 3.03-3.29
Sb2 0.3535 0.6993 0.8825  7 Dy 3.03-3.29
Sb3 0.3007 0.1175 0.6465  7 Dy 3.03-3.29
Sb4 0.6465 0.3007 0.1175  7 Dy 3.03-3.29
Sb5 0.8825 0.3535 0.6993  7 Dy 3.03-3.29
Sb6 0.1175 0.6465 0.3007  7 Dy 3.03-3.29
C1 0.0000 0.0000 0.0000  6 Dy 2.48

No. 5
## Sm7ScTl2 (PBE)

Data for a geometry-optimized Sm7ScTl2 structure.

energy of formation from the pure elements: 0.363 eV per atom

Cell lengths 5.2064, 9.2641, 9.2641 Å; angles 119.72, 90.00, 90.00 degrees
Closest atoms and distances in Å follow each position.
Element x y z (fractional)
Tl1 0.5000 0.3070 0.6930  5 Sm 2.97-3.21
Tl2 0.5000 0.6930 0.3070  5 Sm 2.97-3.21
Sm1 0.5000 0.0659 0.2975  2 Tl 3.21-3.50, 4 Sm 3.38-3.51
Sm2 0.5000 0.9341 0.7025  2 Tl 3.21-3.50, 4 Sm 3.38-3.51
Sm3 0.5000 0.7025 0.9341  2 Tl 3.21-3.50, 4 Sm 3.38-3.51
Sm4 0.5000 0.2975 0.0659  2 Tl 3.21-3.50, 4 Sm 3.38-3.51
Sm5 0.0000 0.7817 0.2183  2 Tl 2.97
Sm6 0.5000 0.5000 0.5000  2 Tl 3.09
Sm7 0.0000 0.2183 0.7817  2 Tl 2.97
Sc1 0.0000 0.0000 0.0000  10 Sm 3.50-3.62

No. 6
## HOsPtRh2 (PBE)

Data for a geometry-optimized HOsPtRh2 structure.

Cell lengths 3.9309, 3.9309, 3.9217 Å; angles 90.00, 90.00, 90.00 degrees
Closest atoms and distances in Å follow each position.
Element x y z (fractional)
H1 0.0000 0.0000 0.0000  2 Os 1.96, 4 Rh 1.97
Os1 0.0000 0.0000 0.5000  2 H 1.96
Pt1 0.5000 0.5000 0.5000  8 Rh 2.78, 4 Os 2.78
Rh1 0.5000 0.0000 0.0000  2 H 1.97
Rh2 0.0000 0.5000 0.0000  2 H 1.97

| no. | DFT total energy (eV for the cell shown) |
| --- | --- |
| 1 | -113.4 |
| 2 | -26.3 |
| 3 | -55.9 |
| 4 | -101.8 |
| 5 | -40.5 |
| 6 | -34.5 |